# 1
VASP calculation (PBE-GGA) on an optimized crystal structure of SrPSe2.

Computed properties:
Total energy (eV per cell): -15.61
DOS at the Fermi energy (states/eV per atom): 1.03
Space-group type: R-3m, No. 166

Cell and atoms, written as POSCAR:
```
SrPSe2
1.0
-7.2508 2.1479 3.2879
-7.3550 -2.5474 2.7226
-5.1124 -0.6614 6.4361
P Sr Se
1 1 2
direct
0.0000 0.0000 0.0000
0.5000 0.5000 0.5000
0.8985 0.8985 0.8985
0.1015 0.1015 0.1015
```



# 2
VASP calculation (PBE-GGA) on an optimized crystal structure of SrPSe2.

Computed properties:
Total energy (eV per cell): -14.76
DOS at the Fermi energy (states/eV per atom): 0.37
Space-group type: R-3m, No. 166

Cell and atoms, written as POSCAR:
```
SrPSe2
1.0
5.0729 2.5772 7.0044
7.0650 -0.4996 5.5924
7.5137 3.0461 3.9627
Sr P Se
1 1 2
direct
0.0000 0.0000 0.0000
0.5000 0.5000 0.5000
0.8857 0.8857 0.8857
0.1143 0.1143 0.1143
```



# 3
VASP calculation (PBE-GGA) on an optimized crystal structure of SrPSe2.

Computed properties:
Total energy (eV per cell): -16.74
DOS at the Fermi energy (states/eV per atom): 0.51
Space-group type: P2/m, No. 10

Cell and atoms, written as POSCAR:
```
SrPSe2
1.0
-3.3218 -1.6064 -0.4204
1.4475 -3.4964 1.9224
-1.2339 0.8670 6.4371
P Sr Se
1 1 2
direct
0.5000 0.5000 0.0000
0.5000 0.0000 0.5000
0.0000 0.3838 0.7641
0.0000 0.6162 0.2359
```



# 4
VASP calculation (PBE-GGA) on an optimized crystal structure of Sr2PSe.

Computed properties:
Total energy (eV per cell): -17.18
DOS at the Fermi energy (states/eV per atom): 0.88
Space-group type: Amm2, No. 38

Cell and atoms, written as POSCAR:
```
Sr2PSe
1.0
3.5043 1.9892 -4.9152
-5.6280 0.6633 2.8778
1.8250 3.5705 2.7461
Se P Sr
1 1 2
direct
0.7424 0.2576 0.5000
0.5048 0.4952 0.0000
0.0030 0.9970 0.5000
0.2498 0.7502 0.0000
```



# 5
VASP calculation (PBE-GGA) on an optimized crystal structure of SrPSe2.

Computed properties:
Total energy (eV per cell): -15.56
DOS at the Fermi energy (states/eV per atom): 0.36
Space-group type: Cmmm, No. 65

Cell and atoms, written as POSCAR:
```
SrPSe2
1.0
1.9834 -4.5616 0.0000
1.9834 4.5616 0.0000
0.0000 0.0000 7.7820
Se P Sr
2 1 1
direct
0.0000 0.0000 0.7845
0.0000 0.0000 0.2155
0.5000 0.5000 0.0000
0.5000 0.5000 0.5000
```



# 6
VASP calculation (PBE-GGA) on an optimized crystal structure of Sr3PSe.

Computed properties:
Total energy (eV per cell): -18.50
DOS at the Fermi energy (states/eV per atom): 0.48
Space-group type: Pm-3m, No. 221

Cell and atoms, written as POSCAR:
```
Sr3PSe
1.0
-3.1409 -3.2539 3.5978
4.3440 0.0209 3.8113
-2.1590 4.7759 2.4345
Sr Se P
3 1 1
direct
0.0000 0.5000 0.0000
0.5000 0.0000 0.0000
0.0000 0.0000 0.5000
0.5000 0.5000 0.5000
0.0000 0.0000 0.0000
```



# 7
VASP calculation (PBE-GGA) on an optimized crystal structure of Sr2PSe.

Computed properties:
Total energy (eV per cell): -33.31
DOS at the Fermi energy (states/eV per atom): 0.77
Space-group type: I-42d, No. 122

Cell and atoms, written as POSCAR:
```
Sr2PSe
1.0
8.0384 0.0000 0.0000
0.0000 8.0384 0.0000
4.0192 4.0192 3.9268
P Sr Se
2 4 2
direct
0.2500 0.7500 0.5000
0.5000 0.5000 0.0000
0.1315 0.6250 0.2500
0.8750 0.8685 0.7500
0.3750 0.3815 0.7500
0.6185 0.1250 0.2500
0.7500 0.2500 0.5000
0.0000 0.0000 0.0000
```



# 8
VASP calculation (PBE-GGA) on an optimized crystal structure of SrPSe2.

Computed properties:
Total energy (eV per cell): -15.15
DOS at the Fermi energy (states/eV per atom): 0.84
Space-group type: I4/mmm, No. 139

Cell and atoms, written as POSCAR:
```
SrPSe2
1.0
-3.5610 -0.2499 4.6635
-3.1966 4.7620 1.2637
1.1394 -3.2908 -4.7291
P Se Sr
1 2 1
direct
0.0000 0.0000 0.0000
0.7500 0.2500 0.5000
0.2500 0.7500 0.5000
0.5000 0.5000 0.0000
```



DOS at the Fermi energy of number 5 (SrPSe2)?
0.36 states/eV per atom